{"formula": "Pm2Dy5Pd4", "functional": "GGA-PBE", "state": "optimized geometry", "crystal_system": "monoclinic", "total_magnetization_mub_per_fu": 0.000, "volume_a3_per_cell": 305.8, "formation_energy_ev_per_atom": -0.397, "lattice": [[-2.444, -2.072, -1.695], [4.365, -0.942, -5.144], [6.240, -9.084, 5.980]], "species": ["Pd", "Pd", "Pd", "Dy", "Pm", "Dy", "Dy", "Dy", "Pd", "Pm", "Dy"], "frac_coords": [[0.327, 0.493, 0.654], [0.026, 0.687, 0.052], [0.974, 0.313, 0.948], [0.763, 0.751, 0.527], [0.907, 0.677, 0.814], [0.500, 0.000, 0.000], [0.867, 0.186, 0.733], [0.133, 0.814, 0.267], [0.673, 0.507, 0.346], [0.093, 0.323, 0.186], [0.237, 0.249, 0.473]]}